[1]
Density functional theory data (PBE-GGA) for a relaxed AlNi20B14 crystal.

Lattice parameters (Å, degrees): 7.552 7.552 7.552 60.00 60.00 60.00
Atoms (fractional coordinates):
Al (0.000, 0.000, 0.000)
Ni (0.000, 0.000, 0.334)
Ni (0.000, 0.000, 0.666)
Ni (0.000, 0.334, 0.000)
Ni (0.000, 0.334, 0.666)
Ni (0.000, 0.666, 0.000)
Ni (0.000, 0.666, 0.334)
Ni (0.135, 0.622, 0.622)
Ni (0.334, 0.000, 0.000)
Ni (0.334, 0.000, 0.666)
Ni (0.334, 0.666, 0.000)
Ni (0.378, 0.378, 0.378)
Ni (0.378, 0.378, 0.865)
Ni (0.378, 0.865, 0.378)
Ni (0.622, 0.135, 0.622)
Ni (0.622, 0.622, 0.135)
Ni (0.622, 0.622, 0.622)
Ni (0.666, 0.000, 0.000)
Ni (0.666, 0.000, 0.334)
Ni (0.666, 0.334, 0.000)
Ni (0.865, 0.378, 0.378)
B (0.190, 0.190, 0.190)
B (0.190, 0.190, 0.430)
B (0.190, 0.430, 0.190)
B (0.276, 0.276, 0.724)
B (0.276, 0.724, 0.276)
B (0.276, 0.724, 0.724)
B (0.430, 0.190, 0.190)
B (0.570, 0.810, 0.810)
B (0.724, 0.276, 0.276)
B (0.724, 0.276, 0.724)
B (0.724, 0.724, 0.276)
B (0.810, 0.570, 0.810)
B (0.810, 0.810, 0.570)
B (0.810, 0.810, 0.810)

The space-group type is Fm-3m, No. 225. As for the total energy: -6.243 eV/atom.

---

[2]
Density functional theory data (PBE-GGA) for a relaxed Al2NiB crystal.

Lattice parameters (Å, degrees): 4.087 4.087 4.087 60.00 60.00 60.00
Atoms (fractional coordinates):
Al (0.000, 0.000, 0.000)
Al (0.250, 0.250, 0.250)
Ni (0.750, 0.750, 0.750)
B (0.500, 0.500, 0.500)

The space-group type is F-43m, No. 216. As for the total energy: -4.452 eV/atom.

---

[3]
Density functional theory data (PBE-GGA) for a relaxed AlNi9B8 crystal.

Lattice parameters (Å, degrees): 5.407 5.407 10.777 90.00 90.00 97.17
Atoms (fractional coordinates):
Al (0.086, 0.914, 0.750)
Al (0.914, 0.086, 0.250)
Ni (0.000, 0.000, 0.000)
Ni (0.000, 0.000, 0.500)
Ni (0.050, 0.395, 0.750)
Ni (0.240, 0.377, 0.114)
Ni (0.240, 0.377, 0.386)
Ni (0.290, 0.710, 0.581)
Ni (0.290, 0.710, 0.919)
Ni (0.377, 0.240, 0.614)
Ni (0.377, 0.240, 0.886)
Ni (0.395, 0.050, 0.250)
Ni (0.605, 0.950, 0.750)
Ni (0.623, 0.760, 0.114)
Ni (0.623, 0.760, 0.386)
Ni (0.710, 0.290, 0.081)
Ni (0.710, 0.290, 0.419)
Ni (0.760, 0.623, 0.614)
Ni (0.760, 0.623, 0.886)
Ni (0.950, 0.605, 0.250)
B (0.039, 0.383, 0.551)
B (0.039, 0.383, 0.949)
B (0.220, 0.780, 0.120)
B (0.220, 0.780, 0.380)
B (0.354, 0.646, 0.250)
B (0.383, 0.039, 0.051)
B (0.383, 0.039, 0.449)
B (0.432, 0.568, 0.750)
B (0.568, 0.432, 0.250)
B (0.617, 0.961, 0.551)
B (0.617, 0.961, 0.949)
B (0.646, 0.354, 0.750)
B (0.780, 0.220, 0.620)
B (0.780, 0.220, 0.880)
B (0.961, 0.617, 0.051)
B (0.961, 0.617, 0.449)

The space-group type is Cmcm, No. 63. As for the total energy: -6.251 eV/atom.

---

[4]
Density functional theory data (PBE-GGA) for a relaxed AlNi12B8 crystal.

Lattice parameters (Å, degrees): 8.987 8.987 14.569 90.00 90.00 107.95
Atoms (fractional coordinates):
Al (0.000, 0.000, 0.000)
Al (0.233, 0.767, 0.739)
Al (0.267, 0.733, 0.239)
Al (0.500, 0.500, 0.500)
Al (0.733, 0.267, 0.761)
Al (0.767, 0.233, 0.261)
Ni (0.014, 0.486, 0.250)
Ni (0.023, 0.247, 0.732)
Ni (0.035, 0.300, 0.998)
Ni (0.050, 0.213, 0.280)
Ni (0.062, 0.200, 0.565)
Ni (0.076, 0.924, 0.579)
Ni (0.083, 0.650, 0.588)
Ni (0.104, 0.630, 0.396)
Ni (0.118, 0.882, 0.870)
Ni (0.130, 0.604, 0.896)
Ni (0.137, 0.863, 0.125)
Ni (0.150, 0.583, 0.088)
Ni (0.158, 0.176, 0.868)
Ni (0.176, 0.158, 0.132)
Ni (0.200, 0.062, 0.435)
Ni (0.200, 0.465, 0.502)
Ni (0.213, 0.050, 0.720)
Ni (0.247, 0.023, 0.268)
Ni (0.253, 0.477, 0.768)
Ni (0.287, 0.450, 0.220)
Ni (0.300, 0.035, 0.002)
Ni (0.300, 0.438, 0.935)
Ni (0.324, 0.342, 0.632)
Ni (0.342, 0.324, 0.368)
Ni (0.350, 0.917, 0.588)
Ni (0.363, 0.637, 0.625)
Ni (0.370, 0.896, 0.396)
Ni (0.382, 0.618, 0.370)
Ni (0.396, 0.870, 0.896)
Ni (0.417, 0.850, 0.088)
Ni (0.424, 0.576, 0.079)
Ni (0.438, 0.300, 0.065)
Ni (0.450, 0.287, 0.780)
Ni (0.465, 0.200, 0.498)
Ni (0.477, 0.253, 0.232)
Ni (0.486, 0.014, 0.750)
Ni (0.514, 0.986, 0.250)
Ni (0.523, 0.747, 0.768)
Ni (0.535, 0.800, 0.502)
Ni (0.550, 0.713, 0.220)
Ni (0.562, 0.700, 0.935)
Ni (0.576, 0.424, 0.921)
Ni (0.583, 0.150, 0.912)
Ni (0.604, 0.130, 0.104)
Ni (0.618, 0.382, 0.630)
Ni (0.630, 0.104, 0.604)
Ni (0.637, 0.363, 0.375)
Ni (0.650, 0.083, 0.412)
Ni (0.658, 0.676, 0.632)
Ni (0.676, 0.658, 0.368)
Ni (0.700, 0.562, 0.065)
Ni (0.700, 0.965, 0.998)
Ni (0.713, 0.550, 0.780)
Ni (0.747, 0.523, 0.232)
Ni (0.753, 0.977, 0.732)
Ni (0.787, 0.950, 0.280)
Ni (0.800, 0.535, 0.498)
Ni (0.800, 0.938, 0.565)
Ni (0.824, 0.842, 0.868)
Ni (0.842, 0.824, 0.132)
Ni (0.850, 0.417, 0.912)
Ni (0.863, 0.137, 0.875)
Ni (0.870, 0.396, 0.104)
Ni (0.882, 0.118, 0.130)
Ni (0.896, 0.370, 0.604)
Ni (0.917, 0.350, 0.412)
Ni (0.924, 0.076, 0.421)
Ni (0.938, 0.800, 0.435)
Ni (0.950, 0.787, 0.720)
Ni (0.965, 0.700, 0.002)
Ni (0.977, 0.753, 0.268)
Ni (0.986, 0.514, 0.750)
B (0.010, 0.990, 0.205)
B (0.025, 0.975, 0.326)
B (0.054, 0.365, 0.857)
B (0.064, 0.340, 0.152)
B (0.116, 0.266, 0.421)
B (0.135, 0.446, 0.643)
B (0.143, 0.857, 0.361)
B (0.160, 0.436, 0.348)
B (0.174, 0.826, 0.482)
B (0.205, 0.795, 0.998)
B (0.227, 0.227, 0.000)
B (0.234, 0.384, 0.079)
B (0.266, 0.116, 0.579)
B (0.273, 0.273, 0.500)
B (0.295, 0.705, 0.498)
B (0.326, 0.674, 0.982)
B (0.340, 0.064, 0.848)
B (0.357, 0.643, 0.861)
B (0.365, 0.054, 0.143)
B (0.384, 0.234, 0.921)
B (0.436, 0.160, 0.652)
B (0.446, 0.135, 0.357)
B (0.475, 0.525, 0.826)
B (0.490, 0.510, 0.705)
B (0.510, 0.490, 0.295)
B (0.525, 0.475, 0.174)
B (0.554, 0.865, 0.643)
B (0.564, 0.840, 0.348)
B (0.616, 0.766, 0.079)
B (0.635, 0.946, 0.857)
B (0.643, 0.357, 0.139)
B (0.660, 0.936, 0.152)
B (0.674, 0.326, 0.018)
B (0.705, 0.295, 0.502)
B (0.727, 0.727, 0.500)
B (0.734, 0.884, 0.421)
B (0.766, 0.616, 0.921)
B (0.773, 0.773, 0.000)
B (0.795, 0.205, 0.002)
B (0.826, 0.174, 0.518)
B (0.840, 0.564, 0.652)
B (0.857, 0.143, 0.639)
B (0.865, 0.554, 0.357)
B (0.884, 0.734, 0.579)
B (0.936, 0.660, 0.848)
B (0.946, 0.635, 0.143)
B (0.975, 0.025, 0.674)
B (0.990, 0.010, 0.795)

The space-group type is Cmce, No. 64. As for the total energy: -6.235 eV/atom.

---

Repeat the second record exactly.
Density functional theory data (PBE-GGA) for a relaxed Al2NiB crystal.

Lattice parameters (Å, degrees): 4.087 4.087 4.087 60.00 60.00 60.00
Atoms (fractional coordinates):
Al (0.000, 0.000, 0.000)
Al (0.250, 0.250, 0.250)
Ni (0.750, 0.750, 0.750)
B (0.500, 0.500, 0.500)

The space-group type is F-43m, No. 216. As for the total energy: -4.452 eV/atom.